{"formula": "Ca3LaAg2", "functional": "PBE-GGA", "state": "optimized geometry", "e_form_mev_per_atom": -194, "rho_g_cm3": 4.3, "spacegroup": "Pmc2_1", "lattice_angstrom": [[5.0743, 0.0000, 0.0000], [0.0000, 7.4978, 0.0000], [0.0000, 0.0000, 9.7113]], "species": ["Ca", "Ca", "Ca", "Ca", "Ca", "Ca", "Ag", "Ag", "Ag", "Ag", "La", "La"], "fractional_positions": [[0.5000, 0.1502, 0.8212], [0.0000, 0.3514, 0.3157], [0.0000, 0.4735, 0.9248], [0.0000, 0.8514, 0.6843], [0.5000, 0.6502, 0.1788], [0.0000, 0.9735, 0.0752], [0.5000, 0.7389, 0.8620], [0.0000, 0.7610, 0.3680], [0.5000, 0.2389, 0.1380], [0.0000, 0.2610, 0.6320], [0.5000, 0.5251, 0.5680], [0.5000, 0.0251, 0.4320]]}


{"formula": "Ca2LaAg", "functional": "PBE-GGA", "state": "optimized geometry", "e_form_mev_per_atom": -111, "rho_g_cm3": 4.0, "spacegroup": "P4mm", "relative_energy_mev_per_atom": 0, "lattice_angstrom": [[-2.8025, -1.3727, 2.0672], [-2.0123, -0.5674, -3.1049], [3.7463, -8.8649, -0.8080]], "species": ["Ca", "Ca", "La", "Ag"], "fractional_positions": [[0.5000, 0.5000, 0.2492], [0.0000, 0.0000, 0.9412], [0.0000, 0.0000, 0.5551], [0.5000, 0.5000, 0.7548]]}


{"formula": "CaLa3Ag2", "functional": "PBE-GGA", "state": "optimized geometry", "e_form_mev_per_atom": -165, "rho_g_cm3": 6.0, "spacegroup": "Pmc2_1", "lattice_angstrom": [[-1.0937, -3.3232, -3.9285], [6.0709, 2.1907, -3.5433], [5.0807, -6.9114, 4.4319]], "species": ["La", "La", "La", "La", "La", "La", "Ag", "Ag", "Ag", "Ag", "Ca", "Ca"], "fractional_positions": [[0.0000, 0.8445, 0.6799], [0.5000, 0.1590, 0.8338], [0.0000, 0.3445, 0.3201], [0.5000, 0.6590, 0.1662], [0.0000, 0.9831, 0.0727], [0.0000, 0.4831, 0.9273], [0.5000, 0.7325, 0.8486], [0.0000, 0.2639, 0.6391], [0.0000, 0.7639, 0.3609], [0.5000, 0.2325, 0.1514], [0.5000, 0.0170, 0.4382], [0.5000, 0.5170, 0.5618]]}